The following is a PBE+U calculation of a relaxed structure of RbVF3, from Alexandria.

Output
The spin magnetization is 6.0 μB per cell. The calculation puts the total energy at -54.80 eV for the cell shown. As for the space-group type: P-1.

Lattice parameters (Å, degrees): 5.6838 6.0941 6.0942 60.00 89.93 89.92
Last column: nearest neighbours and their distance in Å.
Fractional coordinates of all 10 atoms:
Rb: 0.2498 0.1668 0.1666  6 F 3.05-3.06
Rb: 0.7502 0.8332 0.8334  6 F 3.05-3.06
V: 0.0000 0.5000 0.5000  6 F 2.12
V: 0.5000 0.5000 0.5000  6 F 2.12
F: 0.2502 0.2017 0.6500  2 V 2.12
F: 0.2502 0.6483 0.2018  2 V 2.12
F: 0.2496 0.6500 0.6483  2 V 2.12
F: 0.7504 0.3500 0.3517  2 V 2.12
F: 0.7498 0.3517 0.7982  2 V 2.12
F: 0.7498 0.7983 0.3500  2 V 2.12